VASP calculation (PBE) on a relaxed KLiSeBr crystal.

Values from the calculation:
Energy relative to the elements, uncorrected: -101.5 kJ/mol of atoms

Unit cell a=3.2217 b=4.0082 c=16.3949 alpha=90.00 beta=101.05 gamma=90.00
Fractional positions:
K: 0.2205 0.0000 0.4233
K: 0.2205 0.5000 0.9233
Li: 0.0118 0.0000 0.2053
Li: 0.0118 0.5000 0.7053
Se: 0.5778 0.0000 0.7758
Se: 0.5778 0.5000 0.2758
Br: 0.8424 0.0000 0.0485
Br: 0.8424 0.5000 0.5485

***

VASP calculation (PBE) on a relaxed Sr3NiBr crystal.

Values from the calculation:
Energy relative to the elements, uncorrected: -35.5 kJ/mol of atoms

Unit cell a=5.8258 b=5.8258 c=5.8258 alpha=90.00 beta=90.00 gamma=90.00
Fractional positions:
Sr: 0.0000 0.5000 0.0000
Sr: 0.0000 0.0000 0.5000
Sr: 0.5000 0.0000 0.0000
Br: 0.5000 0.5000 0.5000
Ni: 0.0000 0.0000 0.0000

***

VASP calculation (PBE) on a relaxed CoNiBi3 crystal.

Unit cell a=5.1076 b=5.1076 c=5.1076 alpha=90.00 beta=90.00 gamma=90.00
Fractional positions:
Ni: 0.0000 0.0000 0.0000
Co: 0.5000 0.5000 0.5000
Bi: 0.0000 0.5000 0.0000
Bi: 0.0000 0.0000 0.5000
Bi: 0.5000 0.0000 0.0000

***

VASP calculation (PBE) on a relaxed Tb4ErTh3 crystal.

Unit cell a=5.0340 b=10.1034 c=10.0825 alpha=90.00 beta=90.00 gamma=90.00
Fractional positions:
Tb: 0.0644 0.8689 0.0000
Tb: 0.5644 0.1268 0.0000
Tb: 0.0644 0.1283 0.2507
Tb: 0.5644 0.8717 0.2493
Tb: 0.0644 0.8732 0.5000
Tb: 0.5644 0.1311 0.5000
Tb: 0.5644 0.8717 0.7507
Tb: 0.0644 0.1283 0.7493
Th: 0.5644 0.6232 0.0000
Th: 0.0644 0.6222 0.2479
Th: 0.5644 0.3778 0.2521
Th: 0.0644 0.3768 0.5000
Th: 0.5644 0.3778 0.7479
Th: 0.0644 0.6222 0.7521
Er: 0.0644 0.3775 0.0000
Er: 0.5644 0.6225 0.5000

***

VASP calculation (PBE) on a relaxed Dy2HoSc6 crystal.

Unit cell a=3.2767 b=9.7551 c=9.7551 alpha=56.14 beta=70.27 gamma=70.27
Fractional positions:
Dy: 0.3333 0.3334 0.3334
Dy: 0.6667 0.6666 0.6666
Ho: 0.0000 0.0000 0.0000
Sc: 0.1671 0.0000 0.3330
Sc: 0.8328 0.0000 0.6670
Sc: 0.8328 0.6670 0.0000
Sc: 0.5001 0.3331 0.6669
Sc: 0.5001 0.6670 0.3331
Sc: 0.1671 0.3330 0.0000

***

VASP calculation (PBE) on a relaxed Tb2PmY3Tm6 crystal.

Unit cell a=6.1228 b=6.1228 c=11.6946 alpha=95.00 beta=95.00 gamma=119.95
Fractional positions:
Tb: 0.3333 0.6667 0.0000
Tb: 0.6667 0.3333 0.0000
Pm: 0.0000 0.0000 0.0000
Y: 0.1668 0.8332 0.5000
Y: 0.8332 0.1668 0.5000
Y: 0.5000 0.5000 0.5000
Tm: 0.9159 0.5823 0.7499
Tm: 0.7504 0.7504 0.2500
Tm: 0.0841 0.4177 0.2501
Tm: 0.5823 0.9159 0.7499
Tm: 0.2496 0.2496 0.7500
Tm: 0.4177 0.0841 0.2501

***

no.,total DFT energy (no corrections) (eV/atom),density of states at the Fermi level (states/eV/cell)
1,-3.09,1.19
2,-2.87,2.06
3,-4.11,5.56
4,-5.64,21.97
5,-5.69,18.24
6,-4.99,17.10